U5Te2Se5 PBE optimized geometry; total energy = -7.571 eV per atom; formation energy from raw total energies = -891.6 meV per atom
1.0
6.754 -1.953 0.000
6.754 1.953 0.000
-2.383 0.000 12.420
U Te Se
5 2 5
Direct
0.000 0.000 0.000
0.139 0.139 0.448
0.293 0.293 0.173
0.707 0.707 0.827
0.861 0.861 0.552
0.024 0.024 0.769
0.976 0.976 0.231
0.265 0.265 0.668
0.345 0.345 0.951
0.500 0.500 0.500
0.655 0.655 0.049
0.735 0.735 0.332